A plane-wave DFT calculation with PBE was carried out for a relaxed structure of CuS6I.

Cell and atoms, written as extended XYZ:
```
8
Lattice="7.792 -2.085 -3.058 -3.269 7.325 -2.906 -1.964 -2.163 8.245" Properties=species:S:1:pos:R:3 pbc="T T T"
S -1.795 0.815 5.324
S 4.353 2.263 -3.044
S -2.677 4.579 1.950
S 0.046 5.006 -2.417
S 5.236 -1.501 0.330
S 2.512 -1.928 4.698
Cu 0.000 0.000 0.000
I 1.279 1.539 1.140
```

As for the density of states at the Fermi level: 0.0000 states/eV per atom. As for the crystal system: triclinic. The volume comes out at 287.91 Å³ per cell. For the uncorrected formation energy, the calculation gives 94 kJ/mol of formula units. The total energy is -3.6796 eV/atom.